1.
K4TbPu3O12: relaxed, PBE.

```
K4TbPu3O12
1.0
-6.943 1.681 2.029
1.046 -7.329 0.590
4.798 3.549 4.419
K Tb Pu O
4 1 3 12
Direct
0.500 0.500 0.500 K
0.000 0.000 0.500 K
0.500 0.000 0.000 K
0.000 0.500 0.000 K
0.000 0.000 0.000 Tb
0.500 0.000 0.500 Pu
0.500 0.500 0.000 Pu
0.000 0.500 0.500 Pu
0.250 0.500 0.750 O
0.734 0.000 0.734 O
0.266 0.000 0.266 O
0.750 0.500 0.250 O
0.734 0.734 0.000 O
0.266 0.266 0.000 O
0.750 0.250 0.500 O
0.250 0.750 0.500 O
0.500 0.250 0.750 O
0.000 0.734 0.734 O
0.500 0.750 0.250 O
0.000 0.266 0.266 O
```

Output
- formation energy (no corrections) (eV/atom) = -2.585

---

2.
SiAgO2: relaxed, PBE.

```
SiAgO2
1.0
-1.648 4.301 -2.723
-2.718 -3.163 -3.352
-5.231 0.817 -0.801
Si O Ag
2 4 2
Direct
0.500 0.500 0.000 Si
0.250 0.750 0.500 Si
0.375 0.125 0.250 O
0.375 0.625 0.250 O
0.375 0.625 0.750 O
0.875 0.625 0.750 O
0.000 0.000 0.000 Ag
0.750 0.250 0.500 Ag
```

Output
- formation energy (no corrections) (eV/atom) = -1.539

---

3.
Ac3La4In: relaxed, PBE.

```
Ac3La4In
1.0
6.526 0.000 0.000
0.000 7.584 0.000
0.000 0.000 12.165
Ac La In
6 8 2
Direct
0.623 0.625 0.000 Ac
0.986 0.627 0.237 Ac
0.486 0.373 0.263 Ac
0.123 0.375 0.500 Ac
0.486 0.373 0.737 Ac
0.986 0.627 0.763 Ac
0.175 0.903 0.000 La
0.629 0.128 0.000 La
0.985 0.133 0.230 La
0.485 0.867 0.270 La
0.129 0.872 0.500 La
0.675 0.097 0.500 La
0.485 0.867 0.730 La
0.985 0.133 0.770 La
0.146 0.375 0.000 In
0.646 0.625 0.500 In
```

Output
- energy above the lowest structure with this stoichiometry (eV/atom) = 0.0256
- ΔH_f (0 K) (meV/atom) = -86.4

---

4.
Cr3TcBi: relaxed, PBE.

```
Cr3TcBi
1.0
4.733 0.000 0.000
0.000 4.733 0.000
0.000 0.000 4.733
Cr Bi Tc
3 1 1
Direct
0.000 0.500 0.000 Cr
0.000 0.000 0.500 Cr
0.500 0.000 0.000 Cr
0.500 0.500 0.500 Bi
0.000 0.000 0.000 Tc
```

Output
- energy above the lowest structure with this stoichiometry (eV/atom) = 0.0000
- ΔH_f (0 K) (meV/atom) = 1068.5

---

5.
CdH2Rh: relaxed, PBE.

```
CdH2Rh
1.0
2.927 0.003 -0.878
-0.272 2.914 -0.878
0.027 0.029 5.256
Cd H Rh
1 2 1
Direct
0.311 0.811 0.630 Cd
0.536 0.537 0.068 H
0.037 0.036 0.068 H
0.617 0.117 0.234 Rh
```

Output
- VASP energy (eV/atom) = -3.84

---

6.
PuTl2AsS4: relaxed, PBE.

```
PuTl2AsS4
1.0
8.282 0.003 -0.141
-0.003 8.282 -0.141
-4.137 -4.140 6.000
Pu Tl As S
2 4 2 8
Direct
0.000 0.500 0.000 Pu
0.000 0.500 0.500 Pu
0.500 0.000 0.000 Tl
0.500 0.000 0.500 Tl
0.000 0.000 0.500 Tl
0.500 0.500 0.000 Tl
0.500 0.500 0.500 As
0.000 0.000 0.000 As
0.194 0.743 0.968 S
0.757 0.306 0.532 S
0.243 0.694 0.468 S
0.806 0.257 0.032 S
0.763 0.737 0.957 S
0.763 0.737 0.543 S
0.237 0.263 0.457 S
0.237 0.263 0.043 S
```

Output
- formation energy (no corrections) (eV/atom) = -0.628